# 1
VASP calculation (PBE-GGA) on crystalline Mg2SnCl at its relaxed geometry.

a b c (Å): 6.3618 6.3618 12.3394
angles (deg): 90.00 90.00 90.00
Last column: nearest neighbours and their distance in Å.
Space group I-42d (No. 122)
One atom of each set of equivalent atoms:
Mg 0.2290 0.2500 0.1250 x8  2 Cl 2.65, 2 Sn 2.81
Sn 0.0000 0.0000 0.5000 x4  4 Mg 2.81
Cl 0.0000 0.0000 0.0000 x4  4 Mg 2.65

## Properties
Energy relative to the elements, uncorrected in kJ per mole of atoms: -38
E above lowest polymorph in meV/atom: 0.0



# 2
VASP calculation (PBE-GGA) on crystalline Mg2SnCl6 at its relaxed geometry.

a b c (Å): 6.5276 6.5276 6.1881
angles (deg): 90.00 90.00 120.00
Last column: nearest neighbours and their distance in Å.
Space group P-31m (No. 162)
One atom of each set of equivalent atoms:
Mg 0.3333 0.6667 0.0000 x2  6 Cl 2.52-2.53
Sn 0.0000 0.0000 0.5000 x1  6 Cl 2.89
Cl 0.0000 0.3608 0.2285 x6  2 Mg 2.52

## Properties
Energy relative to the elements, uncorrected in kJ per mole of atoms: -150
E above lowest polymorph in meV/atom: 0.0



# 3
VASP calculation (PBE-GGA) on crystalline MgSn3Cl at its relaxed geometry.

a b c (Å): 5.4670 5.4670 5.4670
angles (deg): 90.00 90.00 90.00
Last column: nearest neighbours and their distance in Å.
Space group Pm-3m (No. 221)
One atom of each set of equivalent atoms:
Mg 0.0000 0.0000 0.0000 x1  6 Sn 2.73
Sn 0.0000 0.0000 0.5000 x3  2 Mg 2.73
Cl 0.5000 0.5000 0.5000 x1  12 Sn 3.87

## Properties
Energy relative to the elements, uncorrected in kJ per mole of atoms: 30
E above lowest polymorph in meV/atom: 0.0



# 4
VASP calculation (PBE-GGA) on crystalline MgSn2Cl at its relaxed geometry.

a b c (Å): 7.3713 7.3713 7.3713
angles (deg): 90.00 90.00 90.00
Last column: nearest neighbours and their distance in Å.
Space group Fm-3m (No. 225)
One atom of each set of equivalent atoms:
Mg 0.0000 0.0000 0.0000 x4  8 Sn 3.19
Sn 0.2500 0.2500 0.2500 x8  4 Cl 3.19, 4 Mg 3.19
Cl 0.0000 0.0000 0.5000 x4  8 Sn 3.19

## Properties
Energy relative to the elements, uncorrected in kJ per mole of atoms: -5
E above lowest polymorph in meV/atom: 201.6